(i)
A plane-wave DFT calculation with PBE was carried out for Na2CdCl4 after structural relaxation.

abc: 5.2679 5.2679 14.2204
angles: 90.00 90.00 90.00
Space group I4/mmm (No. 139)
Symmetry-distinct sites (fractional):
Na (0.0000, 0.0000, 0.1345) (multiplicity 4)
Cd (0.0000, 0.0000, 0.5000) (multiplicity 2)
Cl (0.0000, 0.0000, 0.3199) (multiplicity 4)
Cl (0.0000, 0.5000, 0.0000) (multiplicity 4)


(ii)
A plane-wave DFT calculation with PBE was carried out for Na2CdCl4 after structural relaxation.

abc: 7.0922 12.0813 3.9882
angles: 90.00 90.00 90.00
Space group Pbam (No. 55)
Symmetry-distinct sites (fractional):
Na (0.0882, 0.1823, 0.0000) (multiplicity 4)
Cd (0.0000, 0.5000, 0.5000) (multiplicity 2)
Cl (0.1252, 0.7038, 0.5000) (multiplicity 4)
Cl (0.2471, 0.4572, 0.0000) (multiplicity 4)


The least stable of them is (i).


(i)
A plane-wave DFT calculation with PBE was carried out for Na2CdCl4 after structural relaxation.

abc: 8.1168 8.1168 11.5086
angles: 90.00 90.00 90.00
Space group P4_122 (No. 91)
Symmetry-distinct sites (fractional):
Na (0.0000, 0.2523, 0.0000) (multiplicity 4)
Na (0.2486, 0.2486, 0.3750) (multiplicity 4)
Cd (0.2490, 0.5000, 0.7500) (multiplicity 4)
Cl (0.0293, 0.2633, 0.7524) (multiplicity 8)
Cl (0.2651, 0.4847, 0.9842) (multiplicity 8)


(ii)
A plane-wave DFT calculation with PBE was carried out for Na2CdCl4 after structural relaxation.

abc: 14.0189 4.0307 7.1098
angles: 90.00 118.18 90.00
Space group C2/m (No. 12)
Symmetry-distinct sites (fractional):
Na (0.2093, 0.0000, 0.1948) (multiplicity 4)
Cd (0.0000, 0.5000, 0.5000) (multiplicity 2)
Cl (0.1141, 0.5000, 0.9077) (multiplicity 4)
Cl (0.1332, 0.0000, 0.4949) (multiplicity 4)


The least stable of them is (ii).


(i)
A plane-wave DFT calculation with PBE was carried out for NaCdCl2 after structural relaxation.

abc: 6.3195 6.3195 13.2185
angles: 90.00 90.00 90.00
Space group I-42d (No. 122)
Symmetry-distinct sites (fractional):
Na (0.0000, 0.0000, 0.0000) (multiplicity 4)
Cd (0.0000, 0.0000, 0.5000) (multiplicity 4)
Cl (0.2400, 0.2500, 0.1250) (multiplicity 8)


(ii)
A plane-wave DFT calculation with PBE was carried out for NaCdCl2 after structural relaxation.

abc: 7.2250 7.2250 7.2250
angles: 90.00 90.00 90.00
Space group Fm-3m (No. 225)
Symmetry-distinct sites (fractional):
Na (0.0000, 0.0000, 0.0000) (multiplicity 4)
Cd (0.0000, 0.0000, 0.5000) (multiplicity 4)
Cl (0.2500, 0.2500, 0.2500) (multiplicity 8)


The least stable of them is (ii).


(i)
A plane-wave DFT calculation with PBE was carried out for NaCdCl2 after structural relaxation.

abc: 4.6036 4.6036 23.6084
angles: 90.00 90.00 120.00
Space group R-3m (No. 166, hexagonal axes)
Symmetry-distinct sites (fractional):
Na (0.0000, 0.0000, 0.0000) (multiplicity 3)
Cd (0.0000, 0.0000, 0.5000) (multiplicity 3)
Cl (0.0000, 0.0000, 0.1069) (multiplicity 6)


(ii)
A plane-wave DFT calculation with PBE was carried out for NaCdCl2 after structural relaxation.

abc: 15.7872 4.4014 6.3482
angles: 90.00 104.41 90.00
Space group C2/c (No. 15)
Symmetry-distinct sites (fractional):
Na (0.2500, 0.2500, 0.0000) (multiplicity 4)
Cd (0.0000, 0.0000, 0.0000) (multiplicity 4)
Cl (0.1445, 0.2588, 0.2912) (multiplicity 8)


The least stable of them is (i).